[1]
Below is a relaxed structure of VBF2, with properties calculated at the PBE+U level.

POSCAR file:
```
VBF2
1.0
-2.4993 -1.1357 1.8008
0.6076 -3.0420 -1.0752
3.5204 -3.1509 5.8915
V B F
2 2 4
Direct
0.0000 0.0000 0.0000 V
0.7500 0.2500 0.5000 V
0.5000 0.5000 0.0000 B
0.2500 0.7500 0.5000 B
0.6441 0.1250 0.2500 F
0.1059 0.6250 0.2500 F
0.3750 0.3559 0.7500 F
0.8750 0.8941 0.7500 F
```

The total energy comes out at -4.891 eV per atom. The calculated density comes out at 4.3 g cm⁻³. Its polymorph energy (0 for the lowest one) is 240 meV/atom.

[2]
Below is a relaxed structure of VBF2, with properties calculated at the PBE+U level.

POSCAR file:
```
VBF2
1.0
-0.4385 -2.8157 2.6015
-1.3880 0.8128 3.5073
-3.5385 -1.1742 0.9942
V B F
1 1 2
Direct
0.5000 0.5000 0.5000 V
0.0000 0.0000 0.0000 B
0.2500 0.2500 0.2500 F
0.7500 0.7500 0.7500 F
```

The total energy comes out at -4.452 eV per atom. The calculated density comes out at 4.1 g cm⁻³. Its polymorph energy (0 for the lowest one) is 679 meV/atom.

[3]
Below is a relaxed structure of V2BF2, with properties calculated at the PBE+U level.

POSCAR file:
```
V2BF2
1.0
6.7116 0.0000 0.0000
0.0000 6.7116 0.0000
0.0000 0.0000 2.7721
V B F
4 2 4
Direct
0.2182 0.7182 0.5000 V
0.7182 0.7818 0.5000 V
0.7818 0.2818 0.5000 V
0.2818 0.2182 0.5000 V
0.0000 0.0000 0.0000 B
0.5000 0.5000 0.0000 B
0.3834 0.8834 0.0000 F
0.8834 0.6166 0.0000 F
0.6166 0.1166 0.0000 F
0.1166 0.3834 0.0000 F
```

The total energy comes out at -5.250 eV per atom. The calculated density comes out at 4.0 g cm⁻³. Its polymorph energy (0 for the lowest one) is 100 meV/atom.

[4]
Below is a relaxed structure of VBF, with properties calculated at the PBE+U level.

POSCAR file:
```
VBF
1.0
3.0630 0.0000 0.0000
0.0000 5.3021 0.5707
0.0000 0.7729 8.5478
V B F
4 4 4
Direct
0.5000 0.5695 0.7999 V
0.0000 0.9305 0.2001 V
0.5000 0.4305 0.2001 V
0.0000 0.0695 0.7999 V
0.5000 0.8356 0.9972 B
0.0000 0.6644 0.0028 B
0.5000 0.1644 0.0028 B
0.0000 0.3356 0.9972 B
0.5000 0.7179 0.3397 F
0.0000 0.7821 0.6603 F
0.5000 0.2821 0.6603 F
0.0000 0.2179 0.3397 F
```

The total energy comes out at -6.441 eV per atom. The calculated density comes out at 3.9 g cm⁻³.

[5]
Below is a relaxed structure of BW3F, with properties calculated at the PBE+U level.

POSCAR file:
```
BW3F
1.0
-1.2866 2.0364 3.5355
-1.4689 -3.6897 1.5906
3.8064 -0.7356 1.8089
B W F
1 3 1
Direct
0.0000 0.0000 0.0000 B
0.0000 0.5000 0.0000 W
0.0000 0.0000 0.5000 W
0.5000 0.0000 0.0000 W
0.5000 0.5000 0.5000 F
```

The total energy comes out at -4.719 eV per atom. The calculated density comes out at 12.3 g cm⁻³. Its polymorph energy (0 for the lowest one) is 0 meV/atom.

[6]
Below is a relaxed structure of B3WF, with properties calculated at the PBE+U level.

POSCAR file:
```
B3WF
1.0
4.3352 0.0000 0.0000
0.0000 4.3352 0.0000
0.0000 0.0000 4.3352
B W F
3 1 1
Direct
0.0000 0.5000 0.0000 B
0.0000 0.0000 0.5000 B
0.5000 0.0000 0.0000 B
0.0000 0.0000 0.0000 W
0.5000 0.5000 0.5000 F
```

The total energy comes out at -4.167 eV per atom. The calculated density comes out at 4.8 g cm⁻³. Its polymorph energy (0 for the lowest one) is 169 meV/atom.

[7]
Below is a relaxed structure of BWF3, with properties calculated at the PBE+U level.

POSCAR file:
```
BWF3
1.0
-0.4190 -2.7525 2.7948
-1.0493 -2.6297 -2.7472
3.7798 -1.0352 -0.4528
B W F
1 1 3
Direct
0.0000 0.0000 0.0000 B
0.5000 0.5000 0.5000 W
0.0000 0.5000 0.0000 F
0.0000 0.0000 0.5000 F
0.5000 0.0000 0.0000 F
```

The total energy comes out at -3.963 eV per atom. The calculated density comes out at 6.8 g cm⁻³. Its polymorph energy (0 for the lowest one) is 749 meV/atom.

[8]
Below is a relaxed structure of BWF3, with properties calculated at the PBE+U level.

POSCAR file:
```
BWF3
1.0
4.2729 0.0000 0.0000
0.0000 4.2729 0.0000
0.0000 0.0000 4.2729
B W F
1 1 3
Direct
0.5000 0.5000 0.5000 B
0.0000 0.0000 0.0000 W
0.0000 0.5000 0.0000 F
0.0000 0.0000 0.5000 F
0.5000 0.0000 0.0000 F
```

The total energy comes out at -4.713 eV per atom. The calculated density comes out at 5.4 g cm⁻³. Its polymorph energy (0 for the lowest one) is 0 meV/atom.

[9]
Below is a relaxed structure of BWF2, with properties calculated at the PBE+U level.

POSCAR file:
```
BWF2
1.0
0.0000 2.7929 2.7929
2.7929 0.0000 2.7929
2.7929 2.7929 0.0000
B W F
1 1 2
Direct
0.0000 0.0000 0.0000 B
0.5000 0.5000 0.5000 W
0.2500 0.2500 0.2500 F
0.7500 0.7500 0.7500 F
```

The total energy comes out at -4.024 eV per atom. The calculated density comes out at 8.9 g cm⁻³. Its polymorph energy (0 for the lowest one) is 429 meV/atom.

[10]
Below is a relaxed structure of B3WF, with properties calculated at the PBE+U level.

POSCAR file:
```
B3WF
1.0
-3.0153 1.3646 -1.4606
-1.9921 -2.2697 1.9919
-0.1650 2.4645 2.6432
B W F
3 1 1
Direct
0.0000 0.5000 0.0000 B
0.0000 0.0000 0.5000 B
0.5000 0.0000 0.0000 B
0.5000 0.5000 0.5000 W
0.0000 0.0000 0.0000 F
```

The total energy comes out at -4.336 eV per atom. The calculated density comes out at 8.3 g cm⁻³. Its polymorph energy (0 for the lowest one) is 0 meV/atom.

[11]
Below is a relaxed structure of BWF2, with properties calculated at the PBE+U level.

POSCAR file:
```
BWF2
1.0
3.9900 -1.1502 3.8299
-2.1514 -5.1656 0.7742
1.4338 1.7469 -5.1772
B W F
2 2 4
Direct
0.2500 0.7500 0.5000 B
0.5000 0.5000 0.0000 B
0.7500 0.2500 0.5000 W
0.0000 0.0000 0.0000 W
0.3750 0.6250 0.2500 F
0.3750 0.1250 0.7500 F
0.3750 0.6250 0.7500 F
0.8750 0.6250 0.2500 F
```

The total energy comes out at -3.853 eV per atom. The calculated density comes out at 6.1 g cm⁻³. Its polymorph energy (0 for the lowest one) is 601 meV/atom.

[12]
Below is a relaxed structure of BWF2, with properties calculated at the PBE+U level.

POSCAR file:
```
BWF2
1.0
-2.1658 -3.4694 -10.0559
-0.0518 -5.1161 -9.5745
-2.5529 -5.8453 -8.7842
B W F
1 1 2
Direct
0.0000 0.0000 0.0000 B
0.5000 0.5000 0.5000 W
0.9585 0.9585 0.9585 F
0.0415 0.0415 0.0415 F
```

The total energy comes out at -4.453 eV per atom. The calculated density comes out at 5.6 g cm⁻³. Its polymorph energy (0 for the lowest one) is 0 meV/atom.

[13]
Below is a relaxed structure of BWF2, with properties calculated at the PBE+U level.

POSCAR file:
```
BWF2
1.0
9.2696 -0.0275 -0.0162
8.8106 2.8810 -0.0162
8.8106 1.3905 2.5232
B W F
1 1 2
Direct
0.5000 0.5000 0.5000 B
0.0000 0.0000 0.0000 W
0.9309 0.9309 0.9309 F
0.0691 0.0691 0.0691 F
```

The total energy comes out at -4.345 eV per atom. The calculated density comes out at 5.6 g cm⁻³. Its polymorph energy (0 for the lowest one) is 108 meV/atom.